No. 1
## ScCuSb2 (PBE)

Data for a geometry-optimized ScCuSb2 structure.

DFT total energy = -4.881 eV per atom
Fermi-level density of states = 0.573 states/eV/atom
Formation energy from raw total energies = -0.85 eV per formula unit

Geometry as CIF:
```
data_ScCuSb2
_chemical_formula_sum 'Sc1 Cu1 Sb2'
_symmetry_space_group_name_H-M 'P 1'
_symmetry_Int_Tables_number 1
_cell_length_a 5.399
_cell_length_b 5.399
_cell_length_c 5.399
_cell_angle_alpha 135.99
_cell_angle_beta 127.07
_cell_angle_gamma 71.22
loop_
_symmetry_equiv_pos_as_xyz
'x,y,z'
loop_
_atom_site_label
_atom_site_type_symbol
_atom_site_fract_x
_atom_site_fract_y
_atom_site_fract_z
Sc1 Sc 0.000 0.000 0.000
Cu1 Cu 0.500 0.500 0.000
Sb1 Sb 0.263 0.763 0.500
Sb2 Sb 0.737 0.237 0.500
```


No. 2
## SrCrW (PBE)

Data for a geometry-optimized SrCrW structure.

Energy of formation = 3.96 eV per formula unit
DFT total energy = -6.767 eV per atom
Energy relative to the lowest polymorph listed for this composition = 509 meV/atom
Fermi-level density of states = 0.750 states/eV/atom

Geometry as CIF:
```
data_SrCrW
_chemical_formula_sum 'Sr1 Cr1 W1'
_symmetry_space_group_name_H-M 'P 1'
_symmetry_Int_Tables_number 1
_cell_length_a 4.915
_cell_length_b 4.915
_cell_length_c 3.057
_cell_angle_alpha 90.00
_cell_angle_beta 90.00
_cell_angle_gamma 120.00
loop_
_symmetry_equiv_pos_as_xyz
'x,y,z'
loop_
_atom_site_label
_atom_site_type_symbol
_atom_site_fract_x
_atom_site_fract_y
_atom_site_fract_z
Sr1 Sr 0.000 0.000 0.000
Cr1 Cr 0.333 0.667 0.567
W1 W 0.667 0.333 0.446
```


No. 3
## ScPIr2 (PBE)

Data for a geometry-optimized ScPIr2 structure.

Energy of formation = -1.74 eV per formula unit
DFT total energy = -7.802 eV per atom
Fermi-level density of states = 0.457 states/eV/atom

Geometry as CIF:
```
data_ScPIr2
_chemical_formula_sum 'Sc1 P1 Ir2'
_symmetry_space_group_name_H-M 'P 1'
_symmetry_Int_Tables_number 1
_cell_length_a 3.234
_cell_length_b 3.234
_cell_length_c 5.878
_cell_angle_alpha 90.00
_cell_angle_beta 90.00
_cell_angle_gamma 90.00
loop_
_symmetry_equiv_pos_as_xyz
'x,y,z'
loop_
_atom_site_label
_atom_site_type_symbol
_atom_site_fract_x
_atom_site_fract_y
_atom_site_fract_z
Sc1 Sc 0.000 0.000 0.000
P1 P 0.000 0.000 0.500
Ir1 Ir 0.500 0.500 0.266
Ir2 Ir 0.500 0.500 0.734
```


No. 4
## Ge2PbW (PBE)

Data for a geometry-optimized Ge2PbW structure.

Energy of formation = 3.30 eV per formula unit
DFT total energy = -5.648 eV per atom
Fermi-level density of states = 0.594 states/eV/atom

Geometry as CIF:
```
data_Ge2PbW
_chemical_formula_sum 'Ge4 Pb2 W2'
_symmetry_space_group_name_H-M 'P 1'
_symmetry_Int_Tables_number 1
_cell_length_a 7.519
_cell_length_b 7.519
_cell_length_c 7.519
_cell_angle_alpha 131.71
_cell_angle_beta 131.71
_cell_angle_gamma 70.69
loop_
_symmetry_equiv_pos_as_xyz
'x,y,z'
loop_
_atom_site_label
_atom_site_type_symbol
_atom_site_fract_x
_atom_site_fract_y
_atom_site_fract_z
Ge1 Ge 0.056 0.625 0.931
Ge2 Ge 0.375 0.306 0.431
Ge3 Ge 0.694 0.125 0.069
Ge4 Ge 0.875 0.944 0.569
Pb1 Pb 0.250 0.750 0.500
Pb2 Pb 0.500 0.500 0.000
W1 W 0.000 0.000 0.000
W2 W 0.750 0.250 0.500
```


No. 5
## BIr (PBE)

Data for a geometry-optimized BIr structure.

Energy of formation = -0.37 eV per formula unit
DFT total energy = -7.953 eV per atom
Fermi-level density of states = 0.331 states/eV/atom

Geometry as CIF:
```
data_BIr
_chemical_formula_sum 'B2 Ir2'
_symmetry_space_group_name_H-M 'P 1'
_symmetry_Int_Tables_number 1
_cell_length_a 2.878
_cell_length_b 2.878
_cell_length_c 5.256
_cell_angle_alpha 90.00
_cell_angle_beta 90.00
_cell_angle_gamma 90.00
loop_
_symmetry_equiv_pos_as_xyz
'x,y,z'
loop_
_atom_site_label
_atom_site_type_symbol
_atom_site_fract_x
_atom_site_fract_y
_atom_site_fract_z
B1 B 0.250 0.750 0.000
B2 B 0.750 0.250 0.000
Ir1 Ir 0.250 0.250 0.302
Ir2 Ir 0.750 0.750 0.698
```


No. 6
## CsRbNa2 (PBE)

Data for a geometry-optimized CsRbNa2 structure.

Energy of formation = 0.13 eV per formula unit
DFT total energy = -1.082 eV per atom
Energy relative to the lowest polymorph listed for this composition = 0 meV/atom
Fermi-level density of states = 0.605 states/eV/atom

Geometry as CIF:
```
data_CsRbNa2
_chemical_formula_sum 'Cs1 Rb1 Na2'
_symmetry_space_group_name_H-M 'P 1'
_symmetry_Int_Tables_number 1
_cell_length_a 5.084
_cell_length_b 5.084
_cell_length_c 10.189
_cell_angle_alpha 90.00
_cell_angle_beta 90.00
_cell_angle_gamma 90.00
loop_
_symmetry_equiv_pos_as_xyz
'x,y,z'
loop_
_atom_site_label
_atom_site_type_symbol
_atom_site_fract_x
_atom_site_fract_y
_atom_site_fract_z
Cs1 Cs 0.000 0.000 0.000
Rb1 Rb 0.000 0.000 0.500
Na1 Na 0.500 0.500 0.272
Na2 Na 0.500 0.500 0.728
```


No. 7
## Li5MgSn2 (PBE)

Data for a geometry-optimized Li5MgSn2 structure.

Energy of formation = -2.28 eV per formula unit
DFT total energy = -2.681 eV per atom
Fermi-level density of states = 0.389 states/eV/atom

Geometry as CIF:
```
data_Li5MgSn2
_chemical_formula_sum 'Li5 Mg1 Sn2'
_symmetry_space_group_name_H-M 'P 1'
_symmetry_Int_Tables_number 1
_cell_length_a 5.847
_cell_length_b 5.847
_cell_length_c 5.836
_cell_angle_alpha 113.96
_cell_angle_beta 113.96
_cell_angle_gamma 100.72
loop_
_symmetry_equiv_pos_as_xyz
'x,y,z'
loop_
_atom_site_label
_atom_site_type_symbol
_atom_site_fract_x
_atom_site_fract_y
_atom_site_fract_z
Li1 Li 0.000 0.000 0.000
Li2 Li 0.003 0.003 0.502
Li3 Li 0.003 0.501 0.000
Li4 Li 0.501 0.003 0.000
Li5 Li 0.501 0.501 0.498
Mg1 Mg 0.503 0.503 0.000
Sn1 Sn 0.002 0.502 0.500
Sn2 Sn 0.502 0.002 0.500
```


No. 8
## Tl2AgP (PBE)

Data for a geometry-optimized Tl2AgP structure.

Energy of formation = 1.41 eV per formula unit
DFT total energy = -2.896 eV per atom
Energy relative to the lowest polymorph listed for this composition = 288 meV/atom
Fermi-level density of states = 0.083 states/eV/atom

Geometry as CIF:
```
data_Tl2AgP
_chemical_formula_sum 'Tl4 Ag2 P2'
_symmetry_space_group_name_H-M 'P 1'
_symmetry_Int_Tables_number 1
_cell_length_a 6.659
_cell_length_b 6.659
_cell_length_c 6.659
_cell_angle_alpha 113.98
_cell_angle_beta 113.98
_cell_angle_gamma 100.79
loop_
_symmetry_equiv_pos_as_xyz
'x,y,z'
loop_
_atom_site_label
_atom_site_type_symbol
_atom_site_fract_x
_atom_site_fract_y
_atom_site_fract_z
Tl1 Tl 0.105 0.625 0.980
Tl2 Tl 0.375 0.355 0.480
Tl3 Tl 0.645 0.125 0.020
Tl4 Tl 0.875 0.895 0.520
Ag1 Ag 0.250 0.750 0.500
Ag2 Ag 0.500 0.500 0.000
P1 P 0.000 0.000 0.000
P2 P 0.750 0.250 0.500
```